1.
The following is a DFT calculation (PBE) of a geometry-optimized Tb7Dy2Ho structure.

```
Tb7Dy2Ho
1.0
6.0687 0.8727 0.4020
0.9692 8.9346 -2.6958
0.6877 -0.3328 6.0828
Tb Dy Ho
7 2 1
direct
0.0000 0.6001 0.7999
0.9995 0.8004 0.4004
0.0005 0.1996 0.5996
0.5000 0.5000 0.0000
0.0000 0.3999 0.2001
0.5001 0.9000 0.1995
0.4999 0.1000 0.8005
0.5005 0.2998 0.4002
0.4995 0.7002 0.5998
0.0000 0.0000 0.0000
```

Total magnetic moment ... 0.000 μB/atom
DFT formation energy ... 0.02 eV/atom
DFT total energy ... -4.60 eV per atom
Density of states at the Fermi level ... 13.7 states/eV per cell

---

2.
The following is a DFT calculation (PBE) of a geometry-optimized MnBeRh structure.

```
MnBeRh
1.0
-3.2997 0.7907 2.0338
3.0679 -1.7288 1.8023
1.0134 2.4993 0.6724
Rh Mn Be
1 1 1
direct
0.3333 0.6667 0.7809
0.6667 0.3333 0.3171
0.0000 0.0000 0.9020
```

Total magnetic moment ... 1.329 μB/atom
DFT formation energy ... -0.11 eV/atom
DFT total energy ... -6.86 eV per atom
Density of states at the Fermi level ... 3.0 states/eV per cell

---

3.
The following is a DFT calculation (PBE) of a geometry-optimized Li8MgSn2 structure.

```
Li8MgSn2
1.0
4.7706 0.0000 0.0000
0.0000 6.4420 -0.2118
-2.3853 -2.9858 7.2084
Li Sn Mg
8 2 1
direct
0.3347 0.1064 0.6694
0.8292 0.8291 0.6584
0.6652 0.4368 0.3304
0.6653 0.8936 0.3306
0.0000 0.7136 0.9999
0.3348 0.5632 0.6696
0.0000 0.2864 0.0001
0.1708 0.1709 0.3416
0.8221 0.3220 0.6443
0.1779 0.6780 0.3557
0.5000 0.0000 0.0000
```

Total magnetic moment ... 0.000 μB/atom
DFT formation energy ... -0.23 eV/atom
DFT total energy ... -2.50 eV per atom
Density of states at the Fermi level ... 2.9 states/eV per cell

---

4.
The following is a DFT calculation (PBE) of a geometry-optimized ThSi3Ir3 structure.

```
ThSi3Ir3
1.0
-1.9130 6.0571 1.5408
-0.9335 -1.8702 6.1930
6.1799 1.5925 1.4124
Si Ir Th
6 6 2
direct
0.5000 0.0000 0.7500
0.0000 0.2500 0.5000
0.2500 0.5000 0.0000
0.5000 0.0000 0.2500
0.0000 0.7500 0.5000
0.7500 0.5000 0.0000
0.5000 0.7500 0.0000
0.0000 0.5000 0.7500
0.2500 0.0000 0.5000
0.7500 0.0000 0.5000
0.0000 0.5000 0.2500
0.5000 0.2500 0.0000
0.5000 0.5000 0.5000
0.0000 0.0000 0.0000
```

Total magnetic moment ... 0.000 μB/atom
DFT total energy ... -7.59 eV per atom
Density of states at the Fermi level ... 14.4 states/eV per cell

---

5.
The following is a DFT calculation (PBE) of a geometry-optimized Cd3RuCl structure.

```
Cd3RuCl
1.0
-3.9493 -0.0902 3.1602
-0.0143 -5.0562 -0.1622
3.1614 -0.1355 3.9470
Cd Cl Ru
3 1 1
direct
0.0000 0.5000 0.0000
0.0000 0.0000 0.5000
0.5000 0.0000 0.0000
0.0000 0.0000 0.0000
0.5000 0.5000 0.5000
```

Total magnetic moment ... 0.203 μB/atom
DFT total energy ... -1.65 eV per atom
Density of states at the Fermi level ... 2.9 states/eV per cell

---

6.
The following is a DFT calculation (PBE) of a geometry-optimized YTlRe structure.

```
YTlRe
1.0
7.3981 0.0007 -0.0005
6.5517 3.0276 0.0140
0.8464 -0.6497 2.9565
Y Re Tl
1 1 1
direct
0.3478 0.3478 0.6522
0.9984 0.9984 0.0016
0.6538 0.6538 0.3462
```

Total magnetic moment ... 0.000 μB/atom
DFT formation energy ... 0.54 eV/atom
DFT total energy ... -6.55 eV per atom
Density of states at the Fermi level ... 3.0 states/eV per cell

---

7.
The following is a DFT calculation (PBE) of a geometry-optimized CaCd2Cl structure.

```
CaCd2Cl
1.0
-2.1222 4.4760 -2.8859
-4.5240 2.0320 2.8760
5.3374 -1.1943 1.7183
Cd Ca Cl
2 1 1
direct
0.2500 0.7500 0.5000
0.0000 0.0000 0.0000
0.7500 0.2500 0.5000
0.5000 0.5000 0.0000
```

Total magnetic moment ... 0.000 μB/atom
DFT total energy ... -1.99 eV per atom
Density of states at the Fermi level ... 2.5 states/eV per cell

---

8.
The following is a DFT calculation (PBE) of a geometry-optimized TmAlGa2Cu4 structure.

```
TmAlGa2Cu4
1.0
4.1667 0.0000 0.0000
2.0833 3.6084 0.0000
2.0833 1.2028 8.2158
Ga Cu Al Tm
2 4 1 1
direct
0.7499 0.7499 0.7503
0.2501 0.2501 0.2497
0.8694 0.8694 0.3918
0.1306 0.1306 0.6082
0.4006 0.4006 0.7983
0.5994 0.5994 0.2017
0.5000 0.5000 0.5000
0.0000 0.0000 0.0000
```

Total magnetic moment ... 0.000 μB/atom
DFT formation energy ... -0.25 eV/atom
DFT total energy ... -4.08 eV per atom
Density of states at the Fermi level ... 2.0 states/eV per cell